# LiUTcSn, relaxed, DFT PBE
data_LiUTcSn
_chemical_formula_sum 'Li4 U4 Tc4 Sn4'
_space_group_name_H-M_alt 'P 1'
_space_group_IT_number 1
_cell_length_a 6.681
_cell_length_b 6.681
_cell_length_c 6.681
_cell_angle_alpha 90.00
_cell_angle_beta 90.00
_cell_angle_gamma 90.00
loop_
_space_group_symop_operation_xyz
'x,y,z'
loop_
_atom_site_label
_atom_site_fract_x
_atom_site_fract_y
_atom_site_fract_z
Li1 0.000 0.000 0.000
Li2 0.000 0.500 0.500
Li3 0.500 0.000 0.500
Li4 0.500 0.500 0.000
U1 0.250 0.250 0.750
U2 0.250 0.750 0.250
U3 0.750 0.250 0.250
U4 0.750 0.750 0.750
Tc1 0.000 0.000 0.500
Tc2 0.000 0.500 0.000
Tc3 0.500 0.000 0.000
Tc4 0.500 0.500 0.500
Sn1 0.250 0.250 0.250
Sn2 0.250 0.750 0.750
Sn3 0.750 0.250 0.750
Sn4 0.750 0.750 0.250
# V   298 Å³/cell
# Final energy   -6.84 eV per atom
# DFT formation energy   0.050 eV per atom
# Size of the total moment   1.904 μB/f.u.
# SG   F-43m (216)

=====

# Mg3VIr4, relaxed, DFT PBE
data_Mg3VIr4
_chemical_formula_sum 'Mg3 V1 Ir4'
_space_group_name_H-M_alt 'P 1'
_space_group_IT_number 1
_cell_length_a 3.076
_cell_length_b 3.076
_cell_length_c 12.534
_cell_angle_alpha 90.00
_cell_angle_beta 90.00
_cell_angle_gamma 90.00
loop_
_space_group_symop_operation_xyz
'x,y,z'
loop_
_atom_site_label
_atom_site_fract_x
_atom_site_fract_y
_atom_site_fract_z
Mg1 0.000 0.000 0.000
Mg2 0.000 0.000 0.246
Mg3 0.000 0.000 0.754
V1 0.000 0.000 0.500
Ir1 0.500 0.500 0.125
Ir2 0.500 0.500 0.383
Ir3 0.500 0.500 0.617
Ir4 0.500 0.500 0.875
# V   119 Å³/cell
# Final energy   -6.54 eV per atom
# DFT formation energy   -0.369 eV per atom
# Size of the total moment   0.588 μB/f.u.
# SG   P4/mmm (123)

=====

# KMgFe3, relaxed, DFT PBE
data_KMgFe3
_chemical_formula_sum 'K1 Mg1 Fe3'
_space_group_name_H-M_alt 'P 1'
_space_group_IT_number 1
_cell_length_a 4.894
_cell_length_b 4.894
_cell_length_c 4.894
_cell_angle_alpha 90.00
_cell_angle_beta 90.00
_cell_angle_gamma 90.00
loop_
_space_group_symop_operation_xyz
'x,y,z'
loop_
_atom_site_label
_atom_site_fract_x
_atom_site_fract_y
_atom_site_fract_z
K1 0.000 0.000 0.000
Mg1 0.500 0.500 0.500
Fe1 0.000 0.500 0.500
Fe2 0.500 0.000 0.500
Fe3 0.500 0.500 0.000
# V   117 Å³/cell
# Final energy   -4.11 eV per atom
# DFT formation energy   1.505 eV per atom
# Size of the total moment   8.835 μB/f.u.
# E above lowest polymorph   0 meV/atom
# SG   Pm-3m (221)

=====

# TeAsAu2, relaxed, DFT PBE
data_TeAsAu2
_chemical_formula_sum 'Te2 As2 Au4'
_space_group_name_H-M_alt 'P 1'
_space_group_IT_number 1
_cell_length_a 6.922
_cell_length_b 3.996
_cell_length_c 6.835
_cell_angle_alpha 90.00
_cell_angle_beta 109.99
_cell_angle_gamma 90.00
loop_
_space_group_symop_operation_xyz
'x,y,z'
loop_
_atom_site_label
_atom_site_fract_x
_atom_site_fract_y
_atom_site_fract_z
Te1 0.000 0.000 0.000
Te2 0.500 0.500 0.000
As1 0.000 0.500 0.500
As2 0.500 0.000 0.500
Au1 0.243 0.000 0.729
Au2 0.257 0.500 0.271
Au3 0.743 0.500 0.729
Au4 0.757 0.000 0.271
# V   178 Å³/cell
# Final energy   -3.53 eV per atom
# Formation energy from raw total energies   0.058 eV/atom
# Size of the total moment   0.000 μB/f.u.
# E above lowest polymorph   46 meV/atom
# SG   C2/m (12)

=====

# MnNb2Sn, relaxed, DFT PBE
data_MnNb2Sn
_chemical_formula_sum 'Mn4 Nb8 Sn4'
_space_group_name_H-M_alt 'P 1'
_space_group_IT_number 1
_cell_length_a 7.413
_cell_length_b 7.413
_cell_length_c 5.419
_cell_angle_alpha 90.00
_cell_angle_beta 90.00
_cell_angle_gamma 90.00
loop_
_space_group_symop_operation_xyz
'x,y,z'
loop_
_atom_site_label
_atom_site_fract_x
_atom_site_fract_y
_atom_site_fract_z
Mn1 0.000 0.000 0.000
Mn2 0.000 0.500 0.250
Mn3 0.500 0.000 0.750
Mn4 0.500 0.500 0.500
Nb1 0.186 0.750 0.125
Nb2 0.250 0.186 0.875
Nb3 0.250 0.314 0.375
Nb4 0.314 0.750 0.625
Nb5 0.686 0.250 0.625
Nb6 0.750 0.686 0.375
Nb7 0.750 0.814 0.875
Nb8 0.814 0.250 0.125
Sn1 0.000 0.000 0.500
Sn2 0.000 0.500 0.750
Sn3 0.500 0.000 0.250
Sn4 0.500 0.500 0.000
# V   298 Å³/cell
# Final energy   -7.97 eV per atom
# DFT formation energy   0.357 eV per atom
# Size of the total moment   0.000 μB/f.u.
# SG   I-42d (122)

=====

# CsRbZnGeOs, relaxed, DFT PBE
data_CsRbZnGeOs
_chemical_formula_sum 'Cs1 Rb1 Zn1 Ge1 Os1'
_space_group_name_H-M_alt 'P 1'
_space_group_IT_number 1
_cell_length_a 4.308
_cell_length_b 4.309
_cell_length_c 11.371
_cell_angle_alpha 83.79
_cell_angle_beta 84.74
_cell_angle_gamma 60.02
loop_
_space_group_symop_operation_xyz
'x,y,z'
loop_
_atom_site_label
_atom_site_fract_x
_atom_site_fract_y
_atom_site_fract_z
Cs1 0.000 0.000 0.000
Rb1 0.407 0.456 0.442
Zn1 0.045 0.075 0.659
Ge1 0.364 0.385 0.766
Os1 0.703 0.727 0.728
# V   182 Å³/cell
# Final energy   -3.56 eV per atom
# DFT formation energy   0.232 eV per atom
# Size of the total moment   0.000 μB/f.u.
# E above lowest polymorph   0 meV/atom
# SG   P1 (1)

=====

# Ba2CoSbTe, relaxed, DFT PBE
data_Ba2CoSbTe
_chemical_formula_sum 'Ba2 Co1 Sb1 Te1'
_space_group_name_H-M_alt 'P 1'
_space_group_IT_number 1
_cell_length_a 6.109
_cell_length_b 6.109
_cell_length_c 4.681
_cell_angle_alpha 90.00
_cell_angle_beta 90.00
_cell_angle_gamma 90.00
loop_
_space_group_symop_operation_xyz
'x,y,z'
loop_
_atom_site_label
_atom_site_fract_x
_atom_site_fract_y
_atom_site_fract_z
Ba1 0.000 0.500 0.000
Ba2 0.500 0.000 0.000
Co1 0.000 0.000 0.000
Sb1 0.000 0.000 0.500
Te1 0.500 0.500 0.500
# V   175 Å³/cell
# Final energy   -4.35 eV per atom
# Formation energy from raw total energies   -0.710 eV/atom
# Size of the total moment   0.000 μB/f.u.
# SG   P4/mmm (123)

=====

# TaSiB3, relaxed, DFT PBE
data_TaSiB3
_chemical_formula_sum 'Ta1 Si1 B3'
_space_group_name_H-M_alt 'P 1'
_space_group_IT_number 1
_cell_length_a 4.289
_cell_length_b 4.289
_cell_length_c 4.289
_cell_angle_alpha 90.00
_cell_angle_beta 90.00
_cell_angle_gamma 90.00
loop_
_space_group_symop_operation_xyz
'x,y,z'
loop_
_atom_site_label
_atom_site_fract_x
_atom_site_fract_y
_atom_site_fract_z
Ta1 0.000 0.000 0.000
Si1 0.500 0.500 0.500
B1 0.000 0.000 0.500
B2 0.000 0.500 0.000
B3 0.500 0.000 0.000
# V   79 Å³/cell
# Final energy   -5.83 eV per atom
# Formation energy from raw total energies   1.633 eV/atom
# Size of the total moment   0.000 μB/f.u.
# E above lowest polymorph   256 meV/atom
# SG   Pm-3m (221)

=====

# Na3Sc2P3O12, relaxed, DFT PBE
data_Na3Sc2P3O12
_chemical_formula_sum 'Na6 Sc4 P6 O24'
_space_group_name_H-M_alt 'P 1'
_space_group_IT_number 1
_cell_length_a 9.389
_cell_length_b 9.389
_cell_length_c 9.389
_cell_angle_alpha 57.36
_cell_angle_beta 57.36
_cell_angle_gamma 57.36
loop_
_space_group_symop_operation_xyz
'x,y,z'
loop_
_atom_site_label
_atom_site_fract_x
_atom_site_fract_y
_atom_site_fract_z
Na1 0.123 0.750 0.377
Na2 0.250 0.623 0.877
Na3 0.377 0.123 0.750
Na4 0.623 0.877 0.250
Na5 0.750 0.377 0.123
Na6 0.877 0.250 0.623
Sc1 0.152 0.152 0.152
Sc2 0.348 0.348 0.348
Sc3 0.652 0.652 0.652
Sc4 0.848 0.848 0.848
P1 0.039 0.461 0.750
P2 0.250 0.961 0.539
P3 0.461 0.750 0.039
P4 0.539 0.250 0.961
P5 0.750 0.039 0.461
P6 0.961 0.539 0.250
O1 0.018 0.637 0.749
O2 0.073 0.299 0.921
O3 0.079 0.927 0.701
O4 0.137 0.518 0.249
O5 0.201 0.427 0.579
O6 0.249 0.137 0.518
O7 0.251 0.982 0.363
O8 0.299 0.921 0.073
O9 0.363 0.251 0.982
O10 0.421 0.799 0.573
O11 0.427 0.579 0.201
O12 0.482 0.751 0.863
O13 0.518 0.249 0.137
O14 0.573 0.421 0.799
O15 0.579 0.201 0.427
O16 0.637 0.749 0.018
O17 0.701 0.079 0.927
O18 0.749 0.018 0.637
O19 0.751 0.863 0.482
O20 0.799 0.573 0.421
O21 0.863 0.482 0.751
O22 0.921 0.073 0.299
O23 0.927 0.701 0.079
O24 0.982 0.363 0.251
# V   550 Å³/cell
# Final energy   -7.26 eV per atom
# Formation energy from raw total energies   -2.647 eV/atom
# Size of the total moment   0.000 μB/f.u.
# E above lowest polymorph   10 meV/atom
# SG   R-3c (167)

=====

# KBrCl4, relaxed, DFT PBE
data_KBrCl4
_chemical_formula_sum 'K2 Br2 Cl8'
_space_group_name_H-M_alt 'P 1'
_space_group_IT_number 1
_cell_length_a 7.986
_cell_length_b 7.986
_cell_length_c 9.149
_cell_angle_alpha 114.29
_cell_angle_beta 114.29
_cell_angle_gamma 92.02
loop_
_space_group_symop_operation_xyz
'x,y,z'
loop_
_atom_site_label
_atom_site_fract_x
_atom_site_fract_y
_atom_site_fract_z
K1 0.208 0.792 0.750
K2 0.792 0.208 0.250
Br1 0.358 0.642 0.250
Br2 0.642 0.358 0.750
Cl1 0.086 0.645 0.313
Cl2 0.164 0.348 0.624
Cl3 0.348 0.164 0.124
Cl4 0.355 0.914 0.187
Cl5 0.645 0.086 0.813
Cl6 0.652 0.836 0.876
Cl7 0.836 0.652 0.376
Cl8 0.914 0.355 0.687
# V   470 Å³/cell
# Final energy   -2.33 eV per atom
# Formation energy from raw total energies   -0.633 eV/atom
# Size of the total moment   0.000 μB/f.u.
# E above lowest polymorph   3 meV/atom
# SG   C2/c (15)

=====

# K2SnPd2, relaxed, DFT PBE
data_K2SnPd2
_chemical_formula_sum 'K2 Sn1 Pd2'
_space_group_name_H-M_alt 'P 1'
_space_group_IT_number 1
_cell_length_a 4.627
_cell_length_b 4.627
_cell_length_c 9.826
_cell_angle_alpha 90.00
_cell_angle_beta 90.00
_cell_angle_gamma 120.00
loop_
_space_group_symop_operation_xyz
'x,y,z'
loop_
_atom_site_label
_atom_site_fract_x
_atom_site_fract_y
_atom_site_fract_z
K1 0.333 0.667 0.216
K2 0.667 0.333 0.784
Sn1 0.000 0.000 0.500
Pd1 0.333 0.667 0.546
Pd2 0.667 0.333 0.454
# V   182 Å³/cell
# Final energy   -3.65 eV per atom
# DFT formation energy   -0.332 eV per atom
# Size of the total moment   0.000 μB/f.u.
# E above lowest polymorph   0 meV/atom
# SG   P-3m1 (164)

=====

# MgMn2Cr, relaxed, DFT PBE
data_MgMn2Cr
_chemical_formula_sum 'Mg2 Mn4 Cr2'
_space_group_name_H-M_alt 'P 1'
_space_group_IT_number 1
_cell_length_a 2.966
_cell_length_b 4.300
_cell_length_c 8.251
_cell_angle_alpha 90.00
_cell_angle_beta 90.00
_cell_angle_gamma 90.00
loop_
_space_group_symop_operation_xyz
'x,y,z'
loop_
_atom_site_label
_atom_site_fract_x
_atom_site_fract_y
_atom_site_fract_z
Mg1 0.000 0.000 0.000
Mg2 0.500 0.500 0.000
Mn1 0.000 0.500 0.278
Mn2 0.000 0.500 0.722
Mn3 0.500 0.000 0.278
Mn4 0.500 0.000 0.722
Cr1 0.000 0.000 0.500
Cr2 0.500 0.500 0.500
# V   105 Å³/cell
# Final energy   -7.10 eV per atom
# DFT formation energy   0.293 eV per atom
# Size of the total moment   2.541 μB/f.u.
# SG   Cmmm (65)

=====

| no. | Fermi-level density of states (states/eV/atom) |
| --- | --- |
| 1 | 1.88 |
| 2 | 0.78 |
| 3 | 1.09 |
| 4 | 0.46 |
| 5 | 0.87 |
| 6 | 0.77 |
| 7 | 0.55 |
| 8 | 0.25 |
| 9 | 0.00 |
| 10 | 0.00 |
| 11 | 0.59 |
| 12 | 1.13 |